# SiPtBr, relaxed, DFT PBE
data_SiPtBr
_chemical_formula_sum 'Si4 Pt4 Br4'
_symmetry_space_group_name_H-M 'F -4 3 m'
_symmetry_Int_Tables_number 216
_symmetry_space_group_name_Hall 'F -4 2 3'
_cell_length_a 6.2746
_cell_length_b 6.2746
_cell_length_c 6.2746
_cell_angle_alpha 90.00
_cell_angle_beta 90.00
_cell_angle_gamma 90.00
loop_
_atom_site_label
_atom_site_type_symbol
_atom_site_fract_x
_atom_site_fract_y
_atom_site_fract_z
Si1 Si 0.0000 0.0000 0.0000
Pt1 Pt 0.2500 0.2500 0.2500
Br1 Br 0.2500 0.2500 0.7500
# Crystal system: cubic
# Formation energy without anion corrections in eV per formula unit: 1.60